No. 1
The following is a DFT calculation (PBE) of a relaxed structure of KNd2Sc.

Lattice parameters (Å, degrees): 3.590 3.590 13.287 82.24 82.24 60.00
Positions (direct):
Nd  0.098  0.098  0.705
Nd  0.902  0.902  0.295
K  0.000  0.000  0.000
Sc  0.500  0.500  0.500

Summary:
The calculation puts the formation energy at 0.226 eV per atom. Its total energy is -4.0155 eV/atom.



No. 2
The following is a DFT calculation (PBE) of a relaxed structure of Rb2TlI2Cl2.

Lattice parameters (Å, degrees): 5.604 5.604 10.121 106.07 106.07 90.00
Positions (direct):
Cl  0.500  0.000  0.000
Cl  0.000  0.500  0.000
I  0.170  0.170  0.339
I  0.830  0.830  0.661
Rb  0.627  0.627  0.255
Rb  0.373  0.373  0.745
Tl  0.000  0.000  0.000

Summary:
The formation energy without anion corrections is -1228 meV per atom. Its total energy is -2.8134 eV/atom.



Q: What is the formula in the second record?
A: Rb2TlI2Cl2



Copy entry 2 word for word.
The following is a DFT calculation (PBE) of a relaxed structure of Rb2TlI2Cl2.

Lattice parameters (Å, degrees): 5.604 5.604 10.121 106.07 106.07 90.00
Positions (direct):
Cl  0.500  0.000  0.000
Cl  0.000  0.500  0.000
I  0.170  0.170  0.339
I  0.830  0.830  0.661
Rb  0.627  0.627  0.255
Rb  0.373  0.373  0.745
Tl  0.000  0.000  0.000

Summary:
The formation energy without anion corrections is -1228 meV per atom. Its total energy is -2.8134 eV/atom.